(1)
This record from Alexandria via LeMat-Bulk describes a relaxed AgTe3 crystal. The functional is PBEsol.

Unit cell a=4.255 b=4.255 c=7.298 alpha=73.05 beta=73.05 gamma=60.00
Element x y z (fractional)
Ag1 0.000 0.000 0.000
Te1 0.261 0.261 0.217
Te2 0.500 0.500 0.500
Te3 0.739 0.739 0.783

Energy relative to the elements, uncorrected: 0.1 eV per formula unit
DFT total energy: -3.45 eV per atom
N(E_F): 1.88 states/eV/f.u.

(2)
This record from Alexandria via LeMat-Bulk describes a relaxed Ag2Te crystal. The functional is PBEsol.

Unit cell a=4.190 b=4.956 c=7.019 alpha=90.65 beta=90.00 gamma=115.01
Element x y z (fractional)
Ag1 0.677 0.353 0.639
Ag2 0.273 0.546 0.337
Ag3 0.077 0.154 0.907
Te1 0.779 0.557 0.042
Te2 0.985 0.971 0.484
Ag4 0.376 0.752 0.758

Energy relative to the elements, uncorrected: 0.1 eV per formula unit
DFT total energy: -3.36 eV per atom
N(E_F): 0.42 states/eV/f.u.

(3)
This record from Alexandria via LeMat-Bulk describes a relaxed Ag4Te crystal. The functional is PBEsol.

Unit cell a=4.119 b=5.190 c=5.190 alpha=80.94 beta=66.62 gamma=66.62
Element x y z (fractional)
Ag1 0.597 0.214 0.592
Ag2 0.811 0.592 0.786
Ag3 0.189 0.408 0.214
Te1 0.000 0.000 0.000
Ag4 0.403 0.786 0.408

Energy relative to the elements, uncorrected: 0.2 eV per formula unit
DFT total energy: -3.32 eV per atom
N(E_F): 0.79 states/eV/f.u.
Offset from the most stable computed form: 0.000 eV/atom

(4)
This record from Alexandria via LeMat-Bulk describes a relaxed Ag2Te crystal. The functional is PBEsol.

Unit cell a=9.252 b=9.252 c=9.252 alpha=60.00 beta=60.00 gamma=60.00
Element x y z (fractional)
Ag1 0.271 0.271 0.729
Te1 0.884 0.347 0.884
Ag2 0.979 0.979 0.521
Ag3 0.271 0.729 0.729
Te2 0.366 0.366 0.903
Ag4 0.521 0.979 0.521
Te3 0.347 0.884 0.884
Te4 0.884 0.884 0.347
Ag5 0.125 0.125 0.625
Te5 0.884 0.884 0.884
Ag6 0.271 0.729 0.271
Ag7 0.125 0.125 0.125
Ag8 0.729 0.271 0.729
Ag9 0.521 0.521 0.979
Ag10 0.979 0.521 0.979
Te6 0.366 0.903 0.366
Ag11 0.125 0.625 0.125
Ag12 0.521 0.979 0.979
Te7 0.366 0.366 0.366
Ag13 0.729 0.271 0.271
Ag14 0.729 0.729 0.271
Ag15 0.625 0.125 0.125
Te8 0.903 0.366 0.366
Ag16 0.979 0.521 0.521

Energy relative to the elements, uncorrected: 0.2 eV per formula unit
DFT total energy: -3.31 eV per atom
N(E_F): 0.44 states/eV/f.u.

(5)
This record from Alexandria via LeMat-Bulk describes a relaxed AgTe3 crystal. The functional is PBEsol.

Unit cell a=3.069 b=4.178 c=8.624 alpha=90.00 beta=90.42 gamma=90.00
Element x y z (fractional)
Ag1 0.000 0.000 0.000
Te1 0.000 0.000 0.500
Te2 0.005 0.500 0.785
Te3 0.995 0.500 0.215

Energy relative to the elements, uncorrected: 0.1 eV per formula unit
DFT total energy: -3.44 eV per atom
N(E_F): 1.82 states/eV/f.u.

(6)
This record from Alexandria via LeMat-Bulk describes a relaxed Ag2Te crystal. The functional is PBEsol.

Unit cell a=4.481 b=4.481 c=8.316 alpha=90.00 beta=90.00 gamma=120.00
Element x y z (fractional)
Te1 0.667 0.333 0.250
Ag1 0.667 0.333 0.915
Te2 0.333 0.667 0.750
Ag2 0.333 0.667 0.415
Ag3 0.333 0.667 0.085
Ag4 0.667 0.333 0.585

Energy relative to the elements, uncorrected: 0.1 eV per formula unit
DFT total energy: -3.36 eV per atom
N(E_F): 0.25 states/eV/f.u.

- What is the DFT total energy in the first record?
  -3.45 eV per atom

- Among the records above, which one has the lowest DFT total energy?
  number 1

- Among the records above, which one has the highest DFT total energy?
  number 4